# 1
BC (PBE-GGA, optimized geometry); excess energy over the best structure of this formula in the dataset = 224 meV/atom; DFT formation energy = 0.375 eV/atom; total DFT energy (no corrections) = -7.576 eV/atom
1.0
2.449 0.000 0.000
0.000 2.467 0.000
0.000 0.000 13.152
B C
6 6
Direct
0.500 0.500 0.859 B
0.500 0.000 0.558 B
0.000 0.000 0.660 B
0.000 0.500 0.757 B
0.500 0.500 0.158 B
0.500 0.000 0.259 B
0.500 0.000 0.940 C
0.500 0.500 0.477 C
0.000 0.000 0.341 C
0.000 0.500 0.409 C
0.000 0.000 0.008 C
0.000 0.500 0.076 C



# 2
BC (PBE-GGA, optimized geometry); excess energy over the best structure of this formula in the dataset = 208 meV/atom; DFT formation energy = 0.358 eV/atom; total DFT energy (no corrections) = -7.592 eV/atom
1.0
0.334 3.184 -2.808
-1.749 -1.371 -3.633
-0.777 0.967 4.074
B C
3 3
Direct
0.621 0.649 0.972 B
0.804 0.500 0.304 B
0.323 0.351 0.972 B
0.415 0.177 0.238 C
0.026 0.000 0.026 C
0.062 0.823 0.238 C



# 3
B7C5 (PBE-GGA, optimized geometry); excess energy over the best structure of this formula in the dataset = 218 meV/atom; DFT formation energy = 0.383 eV/atom; total DFT energy (no corrections) = -7.356 eV/atom
1.0
-1.733 1.763 0.171
-0.571 -0.775 2.206
9.161 8.490 5.352
B C
7 5
Direct
0.500 0.500 0.856 B
0.500 0.000 0.955 B
0.500 0.500 0.467 B
0.500 0.000 0.567 B
0.000 0.000 0.662 B
0.000 0.500 0.761 B
0.000 0.000 0.311 B
0.500 0.500 0.167 C
0.500 0.000 0.231 C
0.000 0.500 0.392 C
0.000 0.000 0.033 C
0.000 0.500 0.097 C



# 4
BC (PBE-GGA, optimized geometry); excess energy over the best structure of this formula in the dataset = 201 meV/atom; DFT formation energy = 0.352 eV/atom; total DFT energy (no corrections) = -7.598 eV/atom
1.0
4.101 0.023 -2.335
3.237 2.519 -2.335
-0.090 -0.031 6.837
B C
5 5
Direct
0.002 0.002 0.031 B
0.210 0.210 0.051 B
0.383 0.383 0.813 B
0.599 0.599 0.714 B
0.600 0.600 0.337 B
0.202 0.202 0.809 C
0.392 0.392 0.583 C
0.806 0.806 0.439 C
0.811 0.811 0.216 C
0.994 0.994 0.256 C



# 5
BC (PBE-GGA, optimized geometry); excess energy over the best structure of this formula in the dataset = 287 meV/atom; DFT formation energy = 0.438 eV/atom; total DFT energy (no corrections) = -7.513 eV/atom
1.0
-2.746 -1.100 -3.883
-3.992 -2.123 -1.837
-0.967 6.977 2.902
B C
6 6
Direct
0.703 0.703 0.320 B
0.473 0.473 0.398 B
0.309 0.309 0.169 B
0.848 0.848 0.030 B
0.650 0.650 0.845 B
0.183 0.183 0.696 B
0.149 0.149 0.197 C
0.998 0.998 0.993 C
0.495 0.495 0.872 C
0.342 0.342 0.665 C
0.004 0.004 0.515 C
0.844 0.844 0.549 C



# 6
BC (PBE-GGA, optimized geometry); excess energy over the best structure of this formula in the dataset = 289 meV/atom; DFT formation energy = 0.440 eV/atom; total DFT energy (no corrections) = -7.511 eV/atom
1.0
-2.224 3.600 1.051
-1.069 -4.558 1.638
3.583 0.220 2.770
B C
6 6
Direct
0.204 0.860 0.569 B
0.982 0.702 0.167 B
0.397 0.389 0.110 B
0.316 0.689 0.958 B
0.194 0.511 0.590 B
0.759 0.088 0.470 B
0.511 0.489 0.492 C
0.707 0.054 0.115 C
0.726 0.339 0.982 C
0.599 0.261 0.638 C
0.989 0.996 0.007 C
0.866 0.871 0.651 C



# 7
BC (PBE-GGA, optimized geometry); excess energy over the best structure of this formula in the dataset = 227 meV/atom; DFT formation energy = 0.378 eV/atom; total DFT energy (no corrections) = -7.572 eV/atom
1.0
4.466 -0.086 -1.258
2.752 3.444 -1.325
0.193 -0.007 5.693
B C
6 6
Direct
0.988 0.998 0.002 B
0.256 0.389 0.101 B
0.610 0.693 0.263 B
0.836 0.746 0.705 B
0.067 0.855 0.474 B
0.437 0.270 0.681 B
0.242 0.741 0.235 C
0.671 0.952 0.469 C
0.281 0.709 0.732 C
0.569 0.071 0.924 C
0.650 0.664 0.854 C
0.894 0.413 0.059 C



# 8
B3C5 (PBE-GGA, optimized geometry); excess energy over the best structure of this formula in the dataset = 117 meV/atom; DFT formation energy = 0.391 eV/atom; total DFT energy (no corrections) = -7.878 eV/atom
1.0
2.567 -3.905 0.000
2.567 3.905 0.000
0.000 0.000 2.582
B C
3 5
Direct
0.497 0.503 0.500 B
0.006 0.498 0.000 B
0.502 0.994 0.000 B
0.642 0.877 0.500 C
0.112 0.888 0.000 C
0.619 0.381 0.000 C
0.999 0.001 0.500 C
0.123 0.358 0.500 C



# 9
BC (PBE-GGA, optimized geometry); excess energy over the best structure of this formula in the dataset = 174 meV/atom; DFT formation energy = 0.324 eV/atom; total DFT energy (no corrections) = -7.626 eV/atom
1.0
-0.442 -1.602 -1.800
0.908 -1.832 1.407
-11.932 -2.177 4.869
B C
6 6
Direct
0.500 0.000 0.926 B
0.500 0.500 0.493 B
0.500 0.000 0.591 B
0.000 0.000 0.693 B
0.500 0.500 0.158 B
0.000 0.500 0.390 B
0.500 0.500 0.841 C
0.000 0.500 0.777 C
0.500 0.000 0.243 C
0.000 0.000 0.307 C
0.000 0.000 0.010 C
0.000 0.500 0.073 C



# 10
B7C5 (PBE-GGA, optimized geometry); excess energy over the best structure of this formula in the dataset = 273 meV/atom; DFT formation energy = 0.438 eV/atom; total DFT energy (no corrections) = -7.301 eV/atom
1.0
6.371 0.153 -1.181
5.769 2.708 -1.181
0.074 0.017 5.066
B C
7 5
Direct
0.025 0.025 0.070 B
0.897 0.897 0.143 B
0.999 0.999 0.458 B
0.924 0.924 0.743 B
0.687 0.687 0.307 B
0.572 0.572 0.606 B
0.318 0.318 0.654 B
0.319 0.319 0.137 C
0.255 0.255 0.363 C
0.241 0.241 0.869 C
0.671 0.671 0.846 C
0.592 0.592 0.054 C



# 11
B7C5 (PBE-GGA, optimized geometry); excess energy over the best structure of this formula in the dataset = 264 meV/atom; DFT formation energy = 0.429 eV/atom; total DFT energy (no corrections) = -7.310 eV/atom
1.0
4.710 0.054 -1.133
-2.421 3.907 -0.631
-0.357 -0.082 4.627
B C
7 5
Direct
0.167 0.837 0.625 B
0.199 0.865 0.260 B
0.363 0.390 0.106 B
0.395 0.767 0.017 B
0.162 0.488 0.406 B
0.736 0.062 0.475 B
0.553 0.193 0.935 B
0.510 0.491 0.492 C
0.805 0.115 0.164 C
0.512 0.193 0.584 C
0.002 0.005 0.024 C
0.847 0.843 0.661 C



# 12
B7C5 (PBE-GGA, optimized geometry); excess energy over the best structure of this formula in the dataset = 256 meV/atom; DFT formation energy = 0.421 eV/atom; total DFT energy (no corrections) = -7.318 eV/atom
1.0
-3.803 -2.017 -6.051
-2.250 3.056 -6.893
4.510 -2.675 5.866
B C
7 5
Direct
0.997 0.347 0.650 B
0.584 0.280 0.303 B
0.465 0.157 0.308 B
0.987 0.976 0.011 B
0.515 0.852 0.663 B
0.101 0.781 0.320 B
0.639 0.611 0.028 B
0.152 0.157 0.995 C
0.634 0.963 0.672 C
0.005 0.670 0.335 C
0.515 0.497 0.018 C
0.156 0.458 0.698 C



# 13
BC (PBE-GGA, optimized geometry); excess energy over the best structure of this formula in the dataset = 260 meV/atom; DFT formation energy = 0.411 eV/atom; total DFT energy (no corrections) = -7.540 eV/atom
1.0
0.025 3.897 -2.652
-2.181 -3.998 -0.423
-2.521 1.114 3.811
B C
5 5
Direct
0.209 0.630 0.805 B
0.386 0.196 0.673 B
0.366 0.134 0.265 B
0.657 0.932 0.413 B
0.818 0.396 0.193 B
0.259 0.801 0.470 C
0.668 0.933 0.090 C
0.855 0.567 0.889 C
0.974 0.984 0.984 C
0.056 0.177 0.719 C



# 14
BC (PBE-GGA, optimized geometry); excess energy over the best structure of this formula in the dataset = 227 meV/atom; DFT formation energy = 0.378 eV/atom; total DFT energy (no corrections) = -7.573 eV/atom
1.0
2.474 0.000 0.000
0.000 2.513 0.000
0.000 0.000 12.866
B C
6 6
Direct
0.500 0.500 0.836 B
0.500 0.000 0.938 B
0.500 0.000 0.570 B
0.000 0.500 0.730 B
0.500 0.500 0.173 B
0.000 0.000 0.334 B
0.500 0.500 0.485 C
0.000 0.000 0.655 C
0.500 0.000 0.251 C
0.000 0.500 0.420 C
0.000 0.000 0.022 C
0.000 0.500 0.085 C



# 15
BC (PBE-GGA, optimized geometry); excess energy over the best structure of this formula in the dataset = 254 meV/atom; DFT formation energy = 0.404 eV/atom; total DFT energy (no corrections) = -7.546 eV/atom
1.0
-4.248 4.730 0.433
-4.695 3.446 2.587
4.265 2.182 2.185
B C
6 6
Direct
0.024 0.024 0.041 B
0.923 0.923 0.235 B
0.319 0.319 0.149 B
0.918 0.918 0.660 B
0.661 0.661 0.329 B
0.318 0.318 0.663 B
0.245 0.245 0.377 C
0.016 0.016 0.515 C
0.586 0.586 0.555 C
0.237 0.237 0.868 C
0.664 0.664 0.828 C
0.589 0.589 0.031 C



# 16
BC (PBE-GGA, optimized geometry); excess energy over the best structure of this formula in the dataset = 228 meV/atom; DFT formation energy = 0.379 eV/atom; total DFT energy (no corrections) = -7.572 eV/atom
1.0
-2.129 -5.533 -2.239
0.458 -5.882 -2.311
-0.001 -1.074 5.167
B C
6 6
Direct
0.029 0.029 0.062 B
0.924 0.924 0.233 B
0.336 0.336 0.101 B
0.231 0.231 0.410 B
0.892 0.892 0.630 B
0.586 0.586 0.560 B
0.001 0.001 0.520 C
0.666 0.666 0.325 C
0.324 0.324 0.660 C
0.242 0.242 0.862 C
0.669 0.669 0.837 C
0.600 0.600 0.050 C



# 17
B7C5 (PBE-GGA, optimized geometry); excess energy over the best structure of this formula in the dataset = 194 meV/atom; DFT formation energy = 0.358 eV/atom; total DFT energy (no corrections) = -7.380 eV/atom
1.0
4.148 0.021 -5.822
-0.236 2.704 -6.952
0.059 -0.057 7.463
B C
7 5
Direct
0.925 0.342 0.583 B
0.517 0.279 0.238 B
0.522 0.151 0.371 B
0.166 0.170 0.997 B
0.985 0.976 0.009 B
0.569 0.854 0.715 B
0.176 0.778 0.399 B
0.629 0.967 0.662 C
0.988 0.661 0.328 C
0.628 0.616 0.012 C
0.506 0.498 0.007 C
0.138 0.459 0.679 C



# 18
BC (PBE-GGA, optimized geometry); excess energy over the best structure of this formula in the dataset = 254 meV/atom; DFT formation energy = 0.405 eV/atom; total DFT energy (no corrections) = -7.546 eV/atom
1.0
2.584 0.000 0.000
0.000 2.373 0.000
0.000 0.000 12.983
B C
6 6
Direct
0.500 0.500 0.846 B
0.500 0.500 0.479 B
0.500 0.000 0.586 B
0.000 0.000 0.686 B
0.500 0.500 0.153 B
0.000 0.000 0.316 B
0.500 0.000 0.936 C
0.000 0.500 0.773 C
0.500 0.000 0.241 C
0.000 0.500 0.407 C
0.000 0.000 0.003 C
0.000 0.500 0.073 C



# 19
BC (PBE-GGA, optimized geometry); excess energy over the best structure of this formula in the dataset = 312 meV/atom; DFT formation energy = 0.463 eV/atom; total DFT energy (no corrections) = -7.488 eV/atom
1.0
-1.013 -2.395 -0.034
3.765 -1.616 1.675
-2.443 0.942 6.432
B C
6 6
Direct
0.500 0.899 0.346 B
0.500 0.502 0.243 B
0.500 0.498 0.007 B
0.500 0.101 0.904 B
0.000 0.302 0.369 B
0.000 0.698 0.881 B
0.000 0.672 0.650 C
0.000 0.328 0.600 C
0.000 0.979 0.234 C
0.000 0.021 0.016 C
0.500 0.163 0.672 C
0.500 0.837 0.578 C



# 20
BC (PBE-GGA, optimized geometry); excess energy over the best structure of this formula in the dataset = 185 meV/atom; DFT formation energy = 0.336 eV/atom; total DFT energy (no corrections) = -7.615 eV/atom
1.0
-0.617 -2.563 -0.352
2.469 -1.119 3.814
-5.449 0.782 3.856
B C
6 6
Direct
0.500 0.906 0.350 B
0.500 0.456 0.211 B
0.500 0.162 0.920 B
0.000 0.669 0.612 B
0.000 0.315 0.355 B
0.000 0.665 0.972 B
0.500 0.498 0.989 C
0.000 0.328 0.595 C
0.000 0.987 0.236 C
0.000 0.995 0.010 C
0.500 0.167 0.663 C
0.500 0.850 0.587 C



# 21
B3C2 (PBE-GGA, optimized geometry); excess energy over the best structure of this formula in the dataset = 283 meV/atom; DFT formation energy = 0.494 eV/atom; total DFT energy (no corrections) = -7.202 eV/atom
1.0
-9.546 -4.848 -4.705
-8.121 -4.799 -6.912
-7.907 -6.827 -5.255
B C
6 4
Direct
0.206 0.206 0.206 B
0.844 0.844 0.844 B
0.403 0.403 0.403 B
0.044 0.044 0.044 B
0.603 0.603 0.603 B
0.455 0.455 0.455 B
0.250 0.250 0.250 C
0.798 0.798 0.798 C
0.997 0.997 0.997 C
0.650 0.650 0.650 C